FeH12S2O14: optimized geometry, GGA+U.

Properties
As for the calculated density: 1.75 Mg/m³. Its symmetry is P2_1/c (14). The calculation puts the total DFT energy (no corrections) at -0.396 Ry per atom.

POSCAR file:
```
FeH12S2O14
1.0
6.2240 0.0000 0.0000
0.0000 12.6130 0.0000
-2.6765 0.0000 8.6283
Fe H S O
2 24 4 28
direct
0.0000 0.0000 0.0000 Fe
0.0000 0.5000 0.5000 Fe
0.0256 0.1911 0.8714 H
0.0256 0.3089 0.3714 H
0.0340 0.6033 0.7637 H
0.0340 0.8967 0.2637 H
0.1044 0.1197 0.2587 H
0.1044 0.3803 0.7587 H
0.3206 0.6442 0.5259 H
0.3206 0.8558 0.0259 H
0.3256 0.5642 0.3877 H
0.3256 0.9358 0.8877 H
0.3406 0.0814 0.2286 H
0.3406 0.4186 0.7286 H
0.6594 0.5814 0.2714 H
0.6594 0.9186 0.7714 H
0.6744 0.0642 0.1123 H
0.6744 0.4358 0.6123 H
0.6794 0.1442 0.9741 H
0.6794 0.3558 0.4741 H
0.8956 0.6197 0.2413 H
0.8956 0.8803 0.7413 H
0.9660 0.1033 0.7363 H
0.9660 0.3967 0.2363 H
0.9744 0.6911 0.6286 H
0.9744 0.8089 0.1286 H
0.2426 0.6400 0.0929 S
0.2426 0.8600 0.5929 S
0.7574 0.1400 0.4071 S
0.7574 0.3600 0.9071 S
0.0386 0.6790 0.1307 O
0.0386 0.8210 0.6307 O
0.0400 0.1139 0.8500 O
0.0400 0.3861 0.3500 O
0.1745 0.0906 0.1810 O
0.1745 0.4094 0.6810 O
0.1797 0.5791 0.9460 O
0.1797 0.9209 0.4460 O
0.2866 0.5696 0.4880 O
0.2866 0.9304 0.9880 O
0.3785 0.5711 0.2209 O
0.3785 0.9289 0.7209 O
0.3844 0.7309 0.0726 O
0.3844 0.7691 0.5726 O
0.6156 0.2309 0.4274 O
0.6156 0.2691 0.9274 O
0.6215 0.0711 0.2791 O
0.6215 0.4289 0.7791 O
0.7134 0.0696 0.0120 O
0.7134 0.4304 0.5120 O
0.8203 0.0791 0.5540 O
0.8203 0.4209 0.0540 O
0.8255 0.5906 0.3190 O
0.8255 0.9094 0.8190 O
0.9600 0.6139 0.6500 O
0.9600 0.8861 0.1500 O
0.9614 0.1790 0.3693 O
0.9614 0.3210 0.8693 O
```